Record 1
Density functional theory data (PBE) for crystalline Cd3HgBi2 at its relaxed geometry.

Cell lengths 6.087, 6.813, 9.071 Å; angles 98.26, 109.60, 90.00 degrees
Sites, in units of the cell vectors:
Hg: 0.000 0.250 0.000
Hg: 0.000 0.750 0.000
Cd: 0.825 0.389 0.650
Cd: 0.175 0.111 0.350
Cd: 0.500 0.750 0.000
Cd: 0.825 0.889 0.650
Cd: 0.175 0.611 0.350
Cd: 0.500 0.250 0.000
Bi: 0.655 0.080 0.310
Bi: 0.345 0.420 0.690
Bi: 0.655 0.580 0.310
Bi: 0.345 0.920 0.690

Results
- Fermi-level density of states: 3.487 states/eV per cell
- ΔH_f (0 K): 0.046 eV per atom
- Magnetization: 0.00 μB/cell
- Symmetry: C2/m (12)
- Calculated volume: 29.19 Å³/atom

---

Record 2
Density functional theory data (PBE) for crystalline Cd3Hg5Bi2 at its relaxed geometry.

Cell lengths 4.892, 13.019, 13.019 Å; angles 133.84, 99.05, 99.05 degrees
Sites, in units of the cell vectors:
Hg: 0.250 0.448 0.552
Hg: 0.450 0.787 0.700
Hg: 0.550 0.213 0.300
Hg: 0.612 0.265 0.981
Hg: 0.388 0.735 0.019
Hg: 0.050 0.300 0.213
Hg: 0.750 0.552 0.448
Hg: 0.888 0.019 0.735
Hg: 0.112 0.981 0.265
Hg: 0.950 0.700 0.787
Bi: 0.874 0.623 0.127
Bi: 0.626 0.873 0.377
Bi: 0.374 0.127 0.623
Bi: 0.126 0.377 0.873
Cd: 0.146 0.784 0.482
Cd: 0.354 0.518 0.216
Cd: 0.646 0.482 0.784
Cd: 0.250 0.039 0.961
Cd: 0.854 0.216 0.518
Cd: 0.750 0.961 0.039

Results
- Fermi-level density of states: 7.068 states/eV per cell
- ΔH_f (0 K): 0.056 eV per atom
- Magnetization: 0.00 μB/cell
- Symmetry: C2/c (15)
- Calculated volume: 27.39 Å³/atom

---

Record 3
Density functional theory data (PBE) for crystalline Cd3Hg2Bi at its relaxed geometry.

Cell lengths 3.521, 7.523, 21.641 Å; angles 52.14, 130.34, 98.57 degrees
Sites, in units of the cell vectors:
Cd: 0.785 0.802 0.025
Cd: 0.215 0.198 0.975
Cd: 0.784 0.765 0.373
Cd: 0.602 0.331 0.109
Cd: 0.398 0.669 0.891
Cd: 0.216 0.235 0.627
Hg: 0.030 0.252 0.466
Hg: 0.970 0.748 0.534
Hg: 0.600 0.829 0.204
Hg: 0.400 0.171 0.796
Bi: 0.766 0.296 0.283
Bi: 0.234 0.704 0.717

Results
- Fermi-level density of states: 3.446 states/eV per cell
- ΔH_f (0 K): 0.039 eV per atom
- Magnetization: 0.00 μB/cell
- ΔE to the lowest computed polymorph: 0.000 eV per atom
- Symmetry: P-1 (2)
- Calculated volume: 26.19 Å³/atom

---

Record 4
Density functional theory data (PBE) for crystalline Cd5Hg12Bi at its relaxed geometry.

Cell lengths 5.673, 5.564, 17.640 Å; angles 89.73, 89.47, 59.35 degrees
Sites, in units of the cell vectors:
Cd: 0.500 0.000 0.500
Cd: 0.335 0.331 0.000
Cd: 0.168 0.663 0.500
Cd: 0.832 0.337 0.500
Cd: 0.665 0.669 0.000
Hg: 0.010 0.000 0.824
Hg: 0.990 0.000 0.176
Hg: 0.675 0.667 0.660
Hg: 0.008 0.000 0.656
Hg: 0.658 0.667 0.340
Hg: 0.323 0.334 0.167
Hg: 0.342 0.334 0.833
Hg: 0.677 0.666 0.833
Hg: 0.325 0.333 0.340
Hg: 0.342 0.333 0.660
Hg: 0.992 0.000 0.344
Hg: 0.658 0.666 0.167
Bi: 0.000 0.000 0.000

Results
- Fermi-level density of states: 3.575 states/eV per cell
- ΔH_f (0 K): 0.023 eV per atom
- Magnetization: 0.00 μB/cell
- Symmetry: C2/m (12)
- Calculated volume: 26.61 Å³/atom

---

Record 5
Density functional theory data (PBE) for crystalline CdHg3Bi at its relaxed geometry.

Cell lengths 6.047, 6.047, 6.047 Å; angles 90.00, 90.00, 90.00 degrees
Sites, in units of the cell vectors:
Hg: 0.000 0.500 0.000
Hg: 0.500 0.000 0.000
Hg: 0.000 0.000 0.500
Bi: 0.000 0.000 0.000
Cd: 0.500 0.500 0.500

Results
- Fermi-level density of states: 2.432 states/eV per cell
- ΔH_f (0 K): 0.225 eV per atom
- Magnetization: 0.00 μB/cell
- ΔE to the lowest computed polymorph: 0.179 eV per atom
- Symmetry: Pm-3m (221)
- Calculated volume: 44.23 Å³/atom

---

Record 6
Density functional theory data (PBE) for crystalline Cd2Hg5Bi at its relaxed geometry.

Cell lengths 7.617, 7.617, 6.284 Å; angles 128.88, 128.89, 64.16 degrees
Sites, in units of the cell vectors:
Hg: 0.301 0.763 0.068
Hg: 0.763 0.301 0.068
Hg: 0.275 0.275 0.928
Hg: 0.816 0.816 0.516
Hg: 0.289 0.289 0.444
Cd: 0.763 0.250 0.523
Cd: 0.250 0.763 0.523
Bi: 0.767 0.767 0.931

Results
- Fermi-level density of states: 2.521 states/eV per cell
- ΔH_f (0 K): 0.035 eV per atom
- Magnetization: 0.00 μB/cell
- Symmetry: Cm (8)
- Calculated volume: 27.55 Å³/atom

---

Record 7
Density functional theory data (PBE) for crystalline Cd4Hg4Bi3 at its relaxed geometry.

Cell lengths 3.498, 5.232, 17.986 Å; angles 114.11, 95.38, 90.02 degrees
Sites, in units of the cell vectors:
Bi: 0.000 0.000 0.000
Bi: 0.636 0.666 0.274
Bi: 0.364 0.334 0.726
Cd: 0.822 0.766 0.635
Cd: 0.455 0.426 0.910
Cd: 0.545 0.574 0.090
Cd: 0.178 0.234 0.365
Hg: 0.910 0.913 0.815
Hg: 0.272 0.264 0.537
Hg: 0.090 0.087 0.185
Hg: 0.728 0.736 0.463

Results
- Fermi-level density of states: 4.030 states/eV per cell
- ΔH_f (0 K): 0.054 eV per atom
- Magnetization: 0.00 μB/cell
- Symmetry: P-1 (2)
- Calculated volume: 27.17 Å³/atom

---

Record 8
Density functional theory data (PBE) for crystalline CdHgBi2 at its relaxed geometry.

Cell lengths 4.325, 4.325, 7.797 Å; angles 73.90, 73.90, 60.00 degrees
Sites, in units of the cell vectors:
Bi: 0.252 0.252 0.245
Bi: 0.748 0.748 0.755
Cd: 0.000 0.000 0.000
Hg: 0.500 0.500 0.500

Results
- Fermi-level density of states: 2.432 states/eV per cell
- ΔH_f (0 K): 0.146 eV per atom
- Magnetization: 0.00 μB/cell
- ΔE to the lowest computed polymorph: 0.041 eV per atom
- Symmetry: R-3m (166)
- Calculated volume: 29.91 Å³/atom

---

Record 9
Density functional theory data (PBE) for crystalline CdHg14Bi at its relaxed geometry.

Cell lengths 5.979, 8.832, 10.719 Å; angles 90.89, 124.98, 97.36 degrees
Sites, in units of the cell vectors:
Hg: 0.057 0.416 0.858
Hg: 0.387 0.102 0.766
Hg: 0.125 0.831 0.509
Hg: 0.838 0.715 0.673
Hg: 0.545 0.867 0.994
Hg: 0.478 0.606 0.794
Hg: 0.942 0.085 0.269
Hg: 0.775 0.355 0.043
Hg: 0.368 0.209 0.165
Hg: 0.223 0.605 0.327
Hg: 0.129 0.815 0.082
Hg: 0.604 0.593 0.208
Hg: 0.931 0.050 0.824
Hg: 0.610 0.014 0.458
Bi: 0.264 0.338 0.542
Cd: 0.725 0.399 0.487

Results
- Fermi-level density of states: 3.453 states/eV per cell
- ΔH_f (0 K): 0.026 eV per atom
- Magnetization: 0.00 μB/cell
- Symmetry: P1 (1)
- Calculated volume: 28.58 Å³/atom

---

Record 10
Density functional theory data (PBE) for crystalline Cd2Hg2Bi at its relaxed geometry.

Cell lengths 8.696, 8.696, 3.466 Å; angles 90.00, 90.00, 90.00 degrees
Sites, in units of the cell vectors:
Bi: 0.500 0.500 0.000
Bi: 0.000 0.000 0.000
Cd: 0.830 0.670 0.000
Cd: 0.670 0.170 0.000
Cd: 0.330 0.830 0.000
Cd: 0.170 0.330 0.000
Hg: 0.870 0.370 0.500
Hg: 0.630 0.870 0.500
Hg: 0.370 0.130 0.500
Hg: 0.130 0.630 0.500

Results
- Fermi-level density of states: 4.627 states/eV per cell
- ΔH_f (0 K): 0.060 eV per atom
- Magnetization: 0.00 μB/cell
- ΔE to the lowest computed polymorph: 0.000 eV per atom
- Symmetry: P4/mbm (127)
- Calculated volume: 26.21 Å³/atom

---

Record 11
Density functional theory data (PBE) for crystalline Cd5Hg12Bi3 at its relaxed geometry.

Cell lengths 15.098, 15.098, 15.098 Å; angles 109.47, 109.47, 109.47 degrees
Sites, in units of the cell vectors:
Hg: 0.830 0.904 0.272
Hg: 0.632 0.574 0.904
Hg: 0.557 0.330 0.926
Hg: 0.330 0.557 0.426
Hg: 0.368 0.426 0.096
Hg: 0.368 0.943 0.772
Hg: 0.096 0.170 0.228
Hg: 0.670 0.228 0.596
Hg: 0.574 0.943 0.670
Hg: 0.074 0.170 0.443
Hg: 0.404 0.132 0.574
Hg: 0.057 0.426 0.830
Hg: 0.557 0.228 0.132
Hg: 0.943 0.368 0.272
Hg: 0.057 0.632 0.728
Hg: 0.943 0.574 0.170
Hg: 0.772 0.330 0.904
Hg: 0.443 0.670 0.074
Hg: 0.074 0.904 0.132
Hg: 0.596 0.728 0.670
Hg: 0.404 0.272 0.330
Hg: 0.426 0.057 0.330
Hg: 0.096 0.926 0.368
Hg: 0.596 0.868 0.426
Hg: 0.228 0.557 0.632
Hg: 0.330 0.772 0.404
Hg: 0.868 0.272 0.443
Hg: 0.926 0.096 0.868
Hg: 0.132 0.728 0.557
Hg: 0.868 0.596 0.926
Hg: 0.170 0.074 0.943
Hg: 0.728 0.596 0.170
Hg: 0.228 0.670 0.096
Hg: 0.926 0.830 0.557
Hg: 0.443 0.772 0.868
Hg: 0.272 0.404 0.830
Hg: 0.272 0.868 0.943
Hg: 0.904 0.074 0.632
Hg: 0.170 0.096 0.728
Hg: 0.632 0.057 0.228
Hg: 0.728 0.132 0.057
Hg: 0.574 0.632 0.404
Hg: 0.426 0.368 0.596
Hg: 0.772 0.443 0.368
Hg: 0.670 0.443 0.574
Hg: 0.132 0.404 0.074
Hg: 0.904 0.830 0.772
Hg: 0.830 0.926 0.057
Bi: 0.375 0.750 0.625
Bi: 0.750 0.375 0.125
Bi: 0.375 0.625 0.250
Bi: 0.125 0.875 0.750
Bi: 0.250 0.125 0.375
Bi: 0.750 0.875 0.625
Bi: 0.875 0.125 0.250
Bi: 0.125 0.250 0.875
Bi: 0.625 0.250 0.375
Bi: 0.625 0.375 0.750
Bi: 0.250 0.625 0.875
Bi: 0.875 0.750 0.125
Cd: 0.375 0.250 0.125
Cd: 0.250 0.375 0.625
Cd: 0.500 0.000 0.500
Cd: 0.500 0.500 0.500
Cd: 0.125 0.375 0.250
Cd: 0.125 0.750 0.375
Cd: 0.875 0.250 0.625
Cd: 0.625 0.750 0.875
Cd: 0.000 0.500 0.000
Cd: 0.000 0.000 0.500
Cd: 0.625 0.875 0.250
Cd: 0.375 0.125 0.750
Cd: 0.500 0.000 0.000
Cd: 0.000 0.500 0.500
Cd: 0.875 0.625 0.750
Cd: 0.750 0.125 0.875
Cd: 0.500 0.500 0.000
Cd: 0.750 0.625 0.375
Cd: 0.250 0.875 0.125
Cd: 0.000 0.000 0.000

Results
- Fermi-level density of states: 34.184 states/eV per cell
- ΔH_f (0 K): 0.125 eV per atom
- Magnetization: 0.00 μB/cell
- Symmetry: Ia-3d (230)
- Calculated volume: 33.12 Å³/atom

---

Record 12
Density functional theory data (PBE) for crystalline Cd2Hg6Bi at its relaxed geometry.

Cell lengths 3.278, 8.522, 10.820 Å; angles 113.19, 117.65, 90.00 degrees
Sites, in units of the cell vectors:
Hg: 0.500 0.671 0.000
Hg: 0.511 0.987 0.341
Hg: 0.500 0.329 0.000
Hg: 0.511 0.354 0.341
Hg: 0.489 0.013 0.659
Hg: 0.489 0.646 0.659
Cd: 0.993 0.331 0.662
Cd: 0.007 0.669 0.338
Bi: 0.000 0.000 0.000

Results
- Fermi-level density of states: 2.538 states/eV per cell
- ΔH_f (0 K): 0.048 eV per atom
- Magnetization: 0.00 μB/cell
- Symmetry: C2/m (12)
- Calculated volume: 26.65 Å³/atom

---

Record 13
Density functional theory data (PBE) for crystalline Cd6Hg2Bi at its relaxed geometry.

Cell lengths 6.031, 6.856, 6.856 Å; angles 61.06, 82.99, 82.99 degrees
Sites, in units of the cell vectors:
Cd: 0.693 0.619 0.190
Cd: 0.307 0.381 0.810
Cd: 0.307 0.810 0.381
Cd: 0.693 0.190 0.619
Cd: 0.393 0.807 0.807
Cd: 0.607 0.193 0.193
Hg: 0.855 0.665 0.665
Hg: 0.145 0.335 0.335
Bi: 0.000 0.000 0.000

Results
- Fermi-level density of states: 2.509 states/eV per cell
- ΔH_f (0 K): 0.071 eV per atom
- Magnetization: 0.00 μB/cell
- ΔE to the lowest computed polymorph: 0.027 eV per atom
- Symmetry: C2/m (12)
- Calculated volume: 27.29 Å³/atom

---

Record 14
Density functional theory data (PBE) for crystalline Cd6Hg2Bi at its relaxed geometry.

Cell lengths 3.617, 8.961, 10.078 Å; angles 116.40, 122.48, 90.00 degrees
Sites, in units of the cell vectors:
Cd: 0.500 0.672 0.000
Cd: 0.490 0.936 0.328
Cd: 0.490 0.392 0.328
Cd: 0.510 0.064 0.672
Cd: 0.500 0.328 0.000
Cd: 0.510 0.608 0.672
Hg: 0.946 0.315 0.629
Hg: 0.054 0.685 0.371
Bi: 0.000 0.000 0.000

Results
- Fermi-level density of states: 2.316 states/eV per cell
- ΔH_f (0 K): 0.044 eV per atom
- Magnetization: 0.00 μB/cell
- ΔE to the lowest computed polymorph: 0.000 eV per atom
- Symmetry: C2/m (12)
- Calculated volume: 26.03 Å³/atom

---

Record 15
Density functional theory data (PBE) for crystalline Cd7Hg4Bi at its relaxed geometry.

Cell lengths 3.413, 3.413, 29.262 Å; angles 90.00, 90.00, 120.00 degrees
Sites, in units of the cell vectors:
Cd: 0.000 0.000 0.000
Cd: 0.000 0.000 0.243
Cd: 0.333 0.667 0.162
Cd: 0.667 0.333 0.838
Cd: 0.667 0.333 0.595
Cd: 0.333 0.667 0.405
Cd: 0.000 0.000 0.757
Hg: 0.667 0.333 0.081
Hg: 0.333 0.667 0.676
Hg: 0.667 0.333 0.324
Hg: 0.333 0.667 0.919
Bi: 0.000 0.000 0.500

Results
- Fermi-level density of states: 3.969 states/eV per cell
- ΔH_f (0 K): 0.035 eV per atom
- Magnetization: 0.00 μB/cell
- ΔE to the lowest computed polymorph: 0.000 eV per atom
- Symmetry: P-3m1 (164)
- Calculated volume: 24.60 Å³/atom

---

Record 16
Density functional theory data (PBE) for crystalline Cd4Hg4Bi at its relaxed geometry.

Cell lengths 4.657, 7.310, 7.310 Å; angles 84.18, 71.42, 71.42 degrees
Sites, in units of the cell vectors:
Hg: 0.329 0.343 0.000
Hg: 0.328 0.000 0.343
Hg: 0.672 0.000 0.657
Hg: 0.671 0.657 0.000
Cd: 0.000 0.339 0.661
Cd: 0.661 0.339 0.339
Cd: 0.339 0.661 0.661
Cd: 0.000 0.661 0.339
Bi: 0.000 0.000 0.000

Results
- Fermi-level density of states: 3.114 states/eV per cell
- ΔH_f (0 K): 0.046 eV per atom
- Magnetization: 0.00 μB/cell
- Symmetry: I4/mmm (139)
- Calculated volume: 24.84 Å³/atom

---

Record 17
Density functional theory data (PBE) for crystalline Cd10Hg2Bi at its relaxed geometry.

Cell lengths 7.244, 7.707, 7.597 Å; angles 77.05, 61.53, 61.97 degrees
Sites, in units of the cell vectors:
Cd: 0.500 0.000 0.500
Cd: 0.001 0.338 0.661
Cd: 0.999 0.662 0.339
Cd: 0.662 0.338 0.339
Cd: 0.000 0.000 0.500
Cd: 0.499 0.778 0.224
Cd: 0.277 0.222 0.224
Cd: 0.501 0.222 0.776
Cd: 0.723 0.778 0.776
Cd: 0.338 0.662 0.661
Bi: 0.000 0.000 0.000
Hg: 0.500 0.500 0.000
Hg: 0.000 0.500 0.000

Results
- Fermi-level density of states: 6.002 states/eV per cell
- ΔH_f (0 K): 0.077 eV per atom
- Magnetization: 0.00 μB/cell
- Symmetry: Fmmm (69)
- Calculated volume: 25.32 Å³/atom

---

Record 18
Density functional theory data (PBE) for crystalline Cd15Hg2Bi2 at its relaxed geometry.

Cell lengths 7.882, 7.882, 7.882 Å; angles 86.80, 86.80, 86.80 degrees
Sites, in units of the cell vectors:
Cd: 0.302 0.000 0.698
Cd: 0.000 0.500 0.000
Cd: 0.000 0.698 0.302
Cd: 0.698 0.302 0.000
Cd: 0.000 0.302 0.698
Cd: 0.698 0.000 0.302
Cd: 0.500 0.000 0.000
Cd: 0.302 0.698 0.000
Cd: 0.000 0.000 0.500
Cd: 0.634 0.634 0.167
Cd: 0.366 0.833 0.366
Cd: 0.833 0.366 0.366
Cd: 0.167 0.634 0.634
Cd: 0.634 0.167 0.634
Cd: 0.366 0.366 0.833
Bi: 0.117 0.117 0.117
Bi: 0.883 0.883 0.883
Hg: 0.357 0.357 0.357
Hg: 0.643 0.643 0.643

Results
- Fermi-level density of states: 8.272 states/eV per cell
- ΔH_f (0 K): 0.064 eV per atom
- Magnetization: 0.00 μB/cell
- Symmetry: R-3m (166)
- Calculated volume: 25.65 Å³/atom